VS2F | GGA+U | relaxed

Structure (POSCAR):
```
VS2F
1.0
2.144 0.000 6.468
-1.072 1.857 6.468
-1.072 -1.857 6.468
S V F
2 1 1
Cartesian
0.000 0.000 17.365
0.000 0.000 2.040
0.000 0.000 9.703
0.000 0.000 0.000
```

Results
Its magnetic moment is 2.0 μB per cell. The value obtained for the excess energy over the best structure of this formula in the dataset is 0 meV per atom.